Computed, not measured: an optimized crystal structure of BeGeRu at the PBE level of DFT.

Lattice parameters (Å, degrees): 3.9723 3.9723 3.9723 60.07 60.07 60.07
Sites, in units of the cell vectors:
Ru 0.3711 0.3711 0.3711
Be 0.1207 0.1207 0.1207
Ge 0.6214 0.6214 0.6214

Output
Symmetry: No. 160
Calculated formation energy, eV/atom: 0.0536
ΔE to the lowest computed polymorph, meV/atom: 23
Crystal system: trigonal
VASP energy, Ry/atom: -0.4277